(1)
The following is a DFT calculation (GGA-PBE) of a relaxed As3Ru2 crystal.

a b c (Å): 6.2326 6.2326 6.4767
angles (deg): 61.24 61.24 60.00
Closest atoms and distances in Å follow each position.
Atoms (fractional coordinates):
Ru: 0.6652 0.6652 0.0043  6 As 2.44-2.54
As: 0.9060 0.2500 0.2500  4 Ru 2.44-2.54
As: 0.7500 0.4060 0.7500  4 Ru 2.44-2.54
Ru: 0.1652 0.1652 0.5043  6 As 2.44-2.54
Ru: 0.8348 0.8348 0.4957  6 As 2.44-2.54
As: 0.5940 0.9060 0.2500  4 Ru 2.44-2.54
Ru: 0.3348 0.3348 0.9957  6 As 2.44-2.54
As: 0.2500 0.5940 0.2500  4 Ru 2.44-2.54
As: 0.0940 0.7500 0.7500  4 Ru 2.44-2.54
As: 0.4060 0.0940 0.7500  4 Ru 2.44-2.54

Computed properties:
As for the total energy: -6.68 eV/atom. As for the density of states at the Fermi level: 7.28 states/eV per cell. The value obtained for the formation enthalpy at 0 K is -17 kJ per mole of atoms.



(2)
The following is a DFT calculation (GGA-PBE) of a relaxed AsRu5 crystal.

a b c (Å): 7.2901 7.2901 4.2727
angles (deg): 90.00 90.00 157.94
Closest atoms and distances in Å follow each position.
Atoms (fractional coordinates):
Ru: 0.1091 0.8909 0.5000  2 As 2.66, 10 Ru 2.71-2.81
Ru: 0.3288 0.6712 0.0000  10 Ru 2.63-2.79, 2 As 2.80
Ru: 0.7798 0.2202 0.5000  12 Ru 2.63-2.81
Ru: 0.4438 0.5562 0.5000  4 As 2.67, 8 Ru 2.70-2.79
Ru: 0.6732 0.3268 0.0000  10 Ru 2.63-2.79, 2 As 2.86
As: 0.9986 0.0014 0.0000  10 Ru 2.66-2.86, 2 As 2.79

Computed properties:
As for the total energy: -8.37 eV/atom. As for the energy relative to the lowest polymorph listed for this composition: 39 meV/atom. As for the density of states at the Fermi level: 6.22 states/eV per cell. The value obtained for the formation enthalpy at 0 K is 13 kJ per mole of atoms.



(3)
The following is a DFT calculation (GGA-PBE) of a relaxed As7Ru crystal.

a b c (Å): 5.9023 5.9023 5.9023
angles (deg): 60.00 60.00 60.00
Closest atoms and distances in Å follow each position.
Atoms (fractional coordinates):
Ru: 0.0000 0.0000 0.0000  12 As 2.95
As: 0.5000 0.5000 0.5000  12 As 2.95
As: 0.5000 0.0000 0.0000  10 As 2.95, 2 Ru 2.95
As: 0.0000 0.5000 0.0000  10 As 2.95, 2 Ru 2.95
As: 0.5000 0.5000 0.0000  10 As 2.95, 2 Ru 2.95
As: 0.0000 0.0000 0.5000  10 As 2.95, 2 Ru 2.95
As: 0.0000 0.5000 0.5000  10 As 2.95, 2 Ru 2.95
As: 0.5000 0.0000 0.5000  10 As 2.95, 2 Ru 2.95

Computed properties:
As for the total energy: -4.72 eV/atom. As for the density of states at the Fermi level: 4.72 states/eV per cell. The value obtained for the formation enthalpy at 0 K is 49 kJ per mole of atoms.



(4)
The following is a DFT calculation (GGA-PBE) of a relaxed As8Ru crystal.

a b c (Å): 7.7425 7.7425 7.7425
angles (deg): 93.11 93.11 153.04
Closest atoms and distances in Å follow each position.
Atoms (fractional coordinates):
Ru: 0.0000 0.0000 0.0000  12 As 2.69-2.89
As: 0.0000 0.7477 0.7477  4 As 2.65, 1 Ru 2.69
As: 0.2523 0.0000 0.2523  4 As 2.65, 1 Ru 2.69
As: 0.0000 0.2523 0.2523  4 As 2.65, 1 Ru 2.69
As: 0.7477 0.0000 0.7477  4 As 2.65, 1 Ru 2.69
As: 0.6503 0.3497 0.0000  4 As 2.65, 2 Ru 2.89
As: 0.3497 0.6503 0.0000  4 As 2.65, 2 Ru 2.89
As: 0.3497 0.3497 0.6995  4 As 2.65, 2 Ru 2.89
As: 0.6503 0.6503 0.3005  4 As 2.65, 2 Ru 2.89

Computed properties:
As for the total energy: -4.89 eV/atom. As for the density of states at the Fermi level: 4.35 states/eV per cell. The value obtained for the formation enthalpy at 0 K is 26 kJ per mole of atoms.



(5)
The following is a DFT calculation (GGA-PBE) of a relaxed AsRu5 crystal.

a b c (Å): 6.1770 6.1770 3.7948
angles (deg): 90.00 90.00 143.88
Closest atoms and distances in Å follow each position.
Atoms (fractional coordinates):
Ru: 0.0000 0.0000 0.5000  4 As 2.70, 8 Ru 2.77-2.81
Ru: 0.8231 0.1769 0.0000  10 Ru 2.57-2.81, 2 As 2.83
Ru: 0.6710 0.3290 0.5000  10 Ru 2.61-2.77, 2 As 2.76
Ru: 0.1769 0.8231 0.0000  10 Ru 2.57-2.81, 2 As 2.83
Ru: 0.3290 0.6710 0.5000  10 Ru 2.61-2.77, 2 As 2.76
As: 0.5000 0.5000 0.0000  12 Ru 2.70-2.83

Computed properties:
As for the total energy: -8.37 eV/atom. As for the energy relative to the lowest polymorph listed for this composition: 40 meV/atom. As for the density of states at the Fermi level: 5.72 states/eV per cell. The value obtained for the formation enthalpy at 0 K is 13 kJ per mole of atoms.



(6)
The following is a DFT calculation (GGA-PBE) of a relaxed As3Ru5 crystal.

a b c (Å): 5.4577 5.4577 3.9939
angles (deg): 90.00 90.00 103.20
Closest atoms and distances in Å follow each position.
Atoms (fractional coordinates):
As: 0.1940 0.8060 0.5000  8 Ru 2.55-2.66
Ru: 0.7151 0.7151 0.5000  4 As 2.47-2.55
As: 0.5000 0.5000 0.0000  8 Ru 2.47-2.73
Ru: 0.0000 0.5000 0.0000  6 As 2.66-2.73, 6 Ru 2.73-2.94
Ru: 0.2849 0.2849 0.5000  4 As 2.47-2.55
Ru: 0.5000 0.0000 0.0000  6 As 2.66-2.73, 6 Ru 2.73-2.94
Ru: 0.0000 0.0000 0.0000  4 As 2.60, 8 Ru 2.73-2.78
As: 0.8060 0.1940 0.5000  8 Ru 2.55-2.66

Computed properties:
As for the total energy: -7.50 eV/atom. As for the energy relative to the lowest polymorph listed for this composition: 48 meV/atom. As for the density of states at the Fermi level: 7.20 states/eV per cell. The value obtained for the formation enthalpy at 0 K is 4 kJ per mole of atoms.



(7)
The following is a DFT calculation (GGA-PBE) of a relaxed AsRu5 crystal.

a b c (Å): 5.1337 5.1337 6.4853
angles (deg): 73.32 73.32 31.64
Closest atoms and distances in Å follow each position.
Atoms (fractional coordinates):
Ru: 0.3459 0.3459 0.3234  2 As 2.61, 10 Ru 2.65-2.83
As: 0.9899 0.9899 0.9894  6 Ru 2.51-2.77, 2 As 2.80
Ru: 0.6752 0.6752 0.6542  10 Ru 2.53-2.80, 2 As 2.77
Ru: 0.6247 0.6247 0.2948  10 Ru 2.53-2.80
Ru: 0.9474 0.9474 0.6190  1 As 2.56, 11 Ru 2.63-2.81
Ru: 0.2502 0.2502 0.9525  1 As 2.51, 6 Ru 2.60-2.80

Computed properties:
As for the total energy: -8.41 eV/atom. As for the energy relative to the lowest polymorph listed for this composition: 0 meV/atom. As for the density of states at the Fermi level: 5.19 states/eV per cell. The value obtained for the formation enthalpy at 0 K is 9 kJ per mole of atoms.



(8)
The following is a DFT calculation (GGA-PBE) of a relaxed As3Ru5 crystal.

a b c (Å): 7.2309 6.9323 7.2404
angles (deg): 99.78 101.89 131.00
Closest atoms and distances in Å follow each position.
Atoms (fractional coordinates):
As: 0.2167 0.2760 0.9910  6 Ru 2.40-2.57
Ru: 0.7144 0.2148 0.5405  4 As 2.43-2.62
Ru: 0.3017 0.0391 0.1426  5 As 2.44-2.72
Ru: 0.2156 0.7107 0.5401  4 As 2.46-2.69, 1 Ru 2.75
Ru: 0.5049 0.7845 0.1425  4 As 2.45-2.54
As: 0.3070 0.1239 0.4927  7 Ru 2.42-2.61
As: 0.7622 0.7092 0.9440  5 Ru 2.36-2.51
Ru: 0.7122 0.9926 0.8472  3 As 2.40-2.57, 1 Ru 2.66
Ru: 0.5385 0.2317 0.8626  3 As 2.42-2.54, 1 Ru 2.66
As: 0.5963 0.7589 0.4778  7 Ru 2.45-2.74
Ru: 0.8384 0.6900 0.2698  3 As 2.36-2.44
Ru: 0.9802 0.8449 0.6980  4 As 2.45-2.53
Ru: 0.2806 0.4201 0.7105  4 As 2.41-2.56
As: 0.1250 0.6343 0.8434  6 Ru 2.43-2.56
As: 0.7833 0.2940 0.2100  7 Ru 2.44-2.62
Ru: 0.1164 0.2750 0.2874  4 As 2.40-2.61

Computed properties:
As for the total energy: -7.55 eV/atom. As for the energy relative to the lowest polymorph listed for this composition: 0 meV/atom. As for the density of states at the Fermi level: 10.51 states/eV per cell. The value obtained for the formation enthalpy at 0 K is -1 kJ per mole of atoms.



(9)
The following is a DFT calculation (GGA-PBE) of a relaxed As3Ru2 crystal.

a b c (Å): 9.2131 7.9343 5.6402
angles (deg): 83.66 58.86 37.48
Closest atoms and distances in Å follow each position.
Atoms (fractional coordinates):
As: 0.9163 0.0837 0.0837  2 Ru 2.56
Ru: 0.3889 0.4911 0.2114  5 As 2.45-2.56
As: 0.2100 0.4924 0.7214  4 Ru 2.45-2.49
Ru: 0.0386 0.3414 0.8611  5 As 2.45-2.56
Ru: 0.9086 0.2114 0.4911  5 As 2.45-2.56
Ru: 0.7589 0.8611 0.3414  5 As 2.45-2.56
As: 0.7576 0.0400 0.6737  4 Ru 2.45-2.49
As: 0.5286 0.6737 0.0400  4 Ru 2.45-2.49
As: 0.1663 0.3337 0.3337  2 Ru 2.56
As: 0.5763 0.7214 0.4924  4 Ru 2.45-2.49

Computed properties:
As for the total energy: -6.48 eV/atom. As for the density of states at the Fermi level: 5.37 states/eV per cell. The value obtained for the formation enthalpy at 0 K is 2 kJ per mole of atoms.



(10)
The following is a DFT calculation (GGA-PBE) of a relaxed AsRu2S crystal.

a b c (Å): 5.3137 5.3137 6.5615
angles (deg): 66.11 66.11 90.00
Closest atoms and distances in Å follow each position.
Atoms (fractional coordinates):
Ru: 0.3750 0.4019 0.7500  2 S 2.23, 2 As 2.40
As: 0.0000 0.0000 0.0000  4 Ru 2.40
Ru: 0.1519 0.6250 0.2500  2 S 2.23, 2 As 2.40
Ru: 0.8750 0.8481 0.7500  2 S 2.23, 2 As 2.40
S: 0.5000 0.5000 0.0000  4 Ru 2.23
Ru: 0.5981 0.1250 0.2500  2 S 2.23, 2 As 2.40
S: 0.2500 0.7500 0.5000  4 Ru 2.23
As: 0.7500 0.2500 0.5000  4 Ru 2.40

Computed properties:
As for the total energy: -6.88 eV/atom. As for the energy relative to the lowest polymorph listed for this composition: 0 meV/atom. As for the density of states at the Fermi level: 4.26 states/eV per cell. For the uncorrected formation energy, the calculation gives -0.044 eV/atom.



(11)
The following is a DFT calculation (GGA-PBE) of a relaxed AsRuS crystal.

a b c (Å): 5.0711 6.8194 8.9672
angles (deg): 77.29 90.74 90.92
Closest atoms and distances in Å follow each position.
Atoms (fractional coordinates):
Ru: 0.0000 0.0000 0.0000  4 S 2.38-2.39, 2 As 2.47
As: 0.8261 0.5667 0.7906  3 Ru 2.38-2.48, 1 S 2.38
As: 0.1739 0.4333 0.2094  3 Ru 2.38-2.48, 1 S 2.38
As: 0.2088 0.0795 0.5355  3 Ru 2.47-2.57, 1 As 2.50
S: 0.2886 0.5794 0.5484  3 Ru 2.36-2.47
Ru: 0.5000 0.5000 0.0000  2 S 2.41, 4 As 2.42-2.48
As: 0.6671 0.7543 0.1288  3 Ru 2.38-2.47, 1 S 2.39
Ru: 0.0090 0.3149 0.6735  3 S 2.36-2.47, 3 As 2.38-2.47
As: 0.7912 0.9205 0.4645  3 Ru 2.47-2.57, 1 As 2.50
S: 0.8252 0.2556 0.1134  3 Ru 2.32-2.41, 1 As 2.38
Ru: 0.5116 0.1985 0.3050  3 S 2.32-2.42, 3 As 2.38-2.57
S: 0.6874 0.0641 0.7946  3 Ru 2.38-2.43, 1 As 2.39
S: 0.1748 0.7444 0.8866  3 Ru 2.32-2.41, 1 As 2.38
S: 0.3126 0.9359 0.2054  3 Ru 2.38-2.43, 1 As 2.39
Ru: 0.4884 0.8015 0.6950  3 S 2.32-2.42, 3 As 2.38-2.57
Ru: 0.9910 0.6851 0.3265  3 S 2.36-2.47, 3 As 2.38-2.47
S: 0.7114 0.4206 0.4516  3 Ru 2.36-2.47
As: 0.3329 0.2457 0.8712  3 Ru 2.38-2.47, 1 S 2.39

Computed properties:
As for the total energy: -6.40 eV/atom. As for the density of states at the Fermi level: 7.52 states/eV per cell. For the uncorrected formation energy, the calculation gives -0.383 eV/atom.



(12)
The following is a DFT calculation (GGA-PBE) of a relaxed AsRuS crystal.

a b c (Å): 6.0438 6.0438 6.8825
angles (deg): 106.36 106.36 111.01
Closest atoms and distances in Å follow each position.
Atoms (fractional coordinates):
S: 0.6731 0.8778 0.1266  3 Ru 2.35-2.39, 1 S 2.54
As: 0.1232 0.4422 0.6382  1 As 2.44, 3 Ru 2.45-2.48
S: 0.6278 0.9231 0.6266  3 Ru 2.35-2.39, 1 S 2.54
S: 0.7513 0.5465 0.8734  3 Ru 2.35-2.39, 1 S 2.54
As: 0.8041 0.4851 0.3618  1 As 2.44, 3 Ru 2.45-2.48
Ru: 0.7101 0.2001 0.9841  3 S 2.35-2.39, 3 As 2.45-2.48
As: 0.1922 0.3732 0.1382  1 As 2.44, 3 Ru 2.45-2.48
S: 0.2965 0.0013 0.3734  3 Ru 2.35-2.39, 1 S 2.54
Ru: 0.4759 0.4660 0.5159  3 S 2.35-2.39, 3 As 2.45-2.48
Ru: 0.2160 0.7259 0.0159  3 S 2.35-2.39, 3 As 2.45-2.48
As: 0.2351 0.0541 0.8618  1 As 2.44, 3 Ru 2.45-2.48
Ru: 0.9501 0.9601 0.4841  3 S 2.35-2.39, 3 As 2.45-2.48

Computed properties:
As for the total energy: -6.33 eV/atom. As for the density of states at the Fermi level: 7.15 states/eV per cell. For the uncorrected formation energy, the calculation gives -0.311 eV/atom.